The following is a GGA-PBE calculation of a geometry-optimized Pt2IO structure, from Alexandria.

Values from the calculation:
Energy above the lowest structure with this stoichiometry: 0.00 eV per formula unit

Cell and atoms, written as POSCAR:
```
Pt2IO
1.0
5.251 0.000 0.000
0.000 5.251 0.000
0.000 0.000 12.293
Pt I O
8 4 4
Direct
0.036 0.250 0.125 Pt
0.250 0.536 0.375 Pt
0.250 0.964 0.875 Pt
0.464 0.250 0.625 Pt
0.536 0.750 0.625 Pt
0.750 0.036 0.875 Pt
0.750 0.464 0.375 Pt
0.964 0.750 0.125 Pt
0.000 0.000 0.500 I
0.000 0.500 0.750 I
0.500 0.000 0.250 I
0.500 0.500 0.000 I
0.000 0.000 0.000 O
0.000 0.500 0.250 O
0.500 0.000 0.750 O
0.500 0.500 0.500 O
```


The following is a GGA-PBE calculation of a geometry-optimized RbPtI2O structure, from Alexandria.

Values from the calculation:
Energy above the lowest structure with this stoichiometry: 7.98 eV per formula unit

Cell and atoms, written as POSCAR:
```
RbPtI2O
1.0
6.524 0.000 0.000
0.000 6.524 0.000
0.000 0.000 4.118
Rb Pt I O
1 1 2 1
Direct
0.000 0.000 0.000 Rb
0.500 0.500 0.500 Pt
0.000 0.500 0.000 I
0.500 0.000 0.000 I
0.000 0.000 0.500 O
```


The following is a GGA-PBE calculation of a geometry-optimized RbPtIO2 structure, from Alexandria.

Values from the calculation:
Energy above the lowest structure with this stoichiometry: 0.00 eV per formula unit

Cell and atoms, written as POSCAR:
```
RbPtIO2
1.0
4.372 0.000 0.000
0.000 4.372 0.000
0.000 0.000 5.588
Rb Pt I O
1 1 1 2
Direct
0.000 0.000 0.000 Rb
0.500 0.500 0.500 Pt
0.500 0.500 0.000 I
0.000 0.500 0.500 O
0.500 0.000 0.500 O
```


The following is a GGA-PBE calculation of a geometry-optimized RbPtIO2 structure, from Alexandria.

Values from the calculation:
Energy above the lowest structure with this stoichiometry: 5.94 eV per formula unit

Cell and atoms, written as POSCAR:
```
RbPtIO2
1.0
4.217 0.000 0.000
0.000 4.217 0.000
0.000 0.000 7.962
Rb Pt I O
1 1 1 2
Direct
0.000 0.000 0.000 Rb
0.500 0.500 0.500 Pt
0.000 0.000 0.500 I
0.000 0.500 0.000 O
0.500 0.000 0.000 O
```


The following is a GGA-PBE calculation of a geometry-optimized Rb2PtI5O2 structure, from Alexandria.

Cell and atoms, written as POSCAR:
```
Rb2PtI5O2
1.0
6.975 -5.078 0.000
6.975 5.078 0.000
0.000 0.000 11.540
Rb Pt I O
4 2 10 4
Direct
0.031 0.567 0.500 Rb
0.433 0.969 0.500 Rb
0.567 0.031 0.000 Rb
0.969 0.433 0.000 Rb
0.490 0.510 0.736 Pt
0.510 0.490 0.236 Pt
0.220 0.780 0.734 I
0.251 0.749 0.217 I
0.295 0.318 0.737 I
0.318 0.295 0.237 I
0.499 0.501 0.984 I
0.501 0.499 0.484 I
0.682 0.705 0.737 I
0.705 0.682 0.237 I
0.749 0.251 0.717 I
0.780 0.220 0.234 I
0.084 0.710 0.298 O
0.290 0.916 0.298 O
0.710 0.084 0.798 O
0.916 0.290 0.798 O
```


The following is a GGA-PBE calculation of a geometry-optimized Rb2PtIO structure, from Alexandria.

Cell and atoms, written as POSCAR:
```
Rb2PtIO
1.0
6.336 0.000 0.000
0.000 6.336 0.000
0.000 0.000 3.864
Rb Pt I O
2 1 1 1
Direct
0.000 0.500 0.000 Rb
0.500 0.000 0.000 Rb
0.000 0.000 0.500 Pt
0.500 0.500 0.500 I
0.000 0.000 0.000 O
```


The following is a GGA-PBE calculation of a geometry-optimized RbPtI2O structure, from Alexandria.

Values from the calculation:
Energy above the lowest structure with this stoichiometry: 0.00 eV per formula unit

Cell and atoms, written as POSCAR:
```
RbPtI2O
1.0
6.031 0.000 0.000
0.000 6.031 0.000
0.000 0.000 3.886
Rb Pt I O
1 1 2 1
Direct
0.000 0.000 0.000 Rb
0.500 0.500 0.500 Pt
0.000 0.500 0.500 I
0.500 0.000 0.500 I
0.500 0.500 0.000 O
```


The following is a GGA-PBE calculation of a geometry-optimized Rb2PtIO6 structure, from Alexandria.

Cell and atoms, written as POSCAR:
```
Rb2PtIO6
1.0
2.995 1.729 10.038
-2.995 1.729 10.038
0.000 -3.459 10.038
Rb Pt I O
4 2 2 12
Direct
0.122 0.122 0.122 Rb
0.288 0.288 0.288 Rb
0.712 0.712 0.712 Rb
0.878 0.878 0.878 Rb
0.408 0.408 0.408 Pt
0.592 0.592 0.592 Pt
0.000 0.000 0.000 I
0.500 0.500 0.500 I
0.172 0.602 0.602 O
0.202 0.202 0.715 O
0.202 0.715 0.202 O
0.285 0.798 0.798 O
0.398 0.398 0.828 O
0.398 0.828 0.398 O
0.602 0.172 0.602 O
0.602 0.602 0.172 O
0.715 0.202 0.202 O
0.798 0.285 0.798 O
0.798 0.798 0.285 O
0.828 0.398 0.398 O
```


Energy relative to the elements, uncorrected readings, ordered: 277, 1057, -121, 1066, -671, -970, -539, -717 meV per atom
Final energy readings, ordered: -17.48, -9.78, -19.08, -13.14, -32.35, -19.34, -17.76, -46.45 eV per formula unit